Entry 1:
Compound: HfScBeFe
Source: Alexandria via LeMat-Bulk
Functional: PBE
Structure: relaxed

**Symmetry**: No. 216
**Calculated formation energy**: -0.126 eV/atom

Cell lengths 4.4339, 4.4339, 4.4339 Å; angles 60.00, 60.00, 60.00 degrees
With the nearest neighbours (Å) after each atom.
Fractional positions:
Hf: 0.5000 0.5000 0.5000  4 Fe 2.72, 4 Be 2.72
Be: 0.7500 0.7500 0.7500  4 Hf 2.72, 4 Sc 2.72
Sc: 0.0000 0.0000 0.0000  4 Be 2.72, 4 Fe 2.72
Fe: 0.2500 0.2500 0.2500  4 Sc 2.72, 4 Hf 2.72



Entry 2:
Compound: Rb2Cu2Sb
Source: Alexandria via LeMat-Bulk
Functional: PBE
Structure: relaxed

**Symmetry**: No. 127
**VASP energy**: -0.1010 hartree per atom

Cell lengths 7.0850, 7.0850, 5.6407 Å; angles 90.00, 90.00, 90.00 degrees
With the nearest neighbours (Å) after each atom.
Fractional positions:
Sb: 0.0000 0.0000 0.0000  4 Cu 2.79
Sb: 0.5000 0.5000 0.0000  4 Cu 2.79
Rb: 0.3160 0.1840 0.5000  6 Cu 3.40-3.60, 5 Rb 3.66-3.69
Rb: 0.1840 0.6840 0.5000  6 Cu 3.40-3.60, 5 Rb 3.66-3.69
Rb: 0.8160 0.3160 0.5000  6 Cu 3.40-3.60, 5 Rb 3.66-3.69
Rb: 0.6840 0.8160 0.5000  6 Cu 3.40-3.60, 5 Rb 3.66-3.69
Cu: 0.1265 0.3735 0.0000  1 Cu 2.54, 2 Sb 2.79
Cu: 0.8735 0.6265 0.0000  1 Cu 2.54, 2 Sb 2.79
Cu: 0.6265 0.1265 0.0000  1 Cu 2.54, 2 Sb 2.79
Cu: 0.3735 0.8735 0.0000  1 Cu 2.54, 2 Sb 2.79



Entry 3:
Compound: La4SiOs
Source: Alexandria via LeMat-Bulk
Functional: PBE
Structure: relaxed

**Symmetry**: No. 216
**Energy above the lowest structure with this stoichiometry**: 26.884 kcal/mol of atoms

Cell lengths 6.1352, 6.1352, 6.1352 Å; angles 60.00, 60.00, 60.00 degrees
With the nearest neighbours (Å) after each atom.
Fractional positions:
La: 0.3754 0.3754 0.8737  6 La 3.06-3.08
La: 0.3754 0.8737 0.3754  6 La 3.06-3.08
La: 0.3754 0.3754 0.3754  6 La 3.06-3.08
La: 0.8737 0.3754 0.3754  6 La 3.06-3.08
Si: 0.0000 0.0000 0.0000  12 La 3.60, 4 Os 3.76
Os: 0.7500 0.7500 0.7500  12 La 3.60, 4 Si 3.76



Entry 4:
Compound: TcHSe2Br
Source: Alexandria via LeMat-Bulk
Functional: PBE
Structure: relaxed

**Symmetry**: No. 123
**Energy above the lowest structure with this stoichiometry**: 0.000 kcal/mol of atoms

Cell lengths 4.7744, 4.7744, 5.4823 Å; angles 90.00, 90.00, 90.00 degrees
With the nearest neighbours (Å) after each atom.
Fractional positions:
Br: 0.0000 0.0000 0.5000  2 Tc 2.74
Tc: 0.0000 0.0000 0.0000  4 Se 2.39
Se: 0.5000 0.0000 0.0000  2 Tc 2.39
Se: 0.0000 0.5000 0.0000  2 Tc 2.39
H: 0.5000 0.5000 0.5000  4 Br 3.38, 8 Se 3.63



Entry 5:
Compound: Rb2Hg4Pd
Source: Alexandria via LeMat-Bulk
Functional: PBE
Structure: relaxed

**Symmetry**: No. 139
**Energy above the lowest structure with this stoichiometry**: 0.173 kcal/mol of atoms
**Calculated formation energy**: -0.231 eV/atom

Cell lengths 5.4129, 5.4129, 9.8205 Å; angles 74.00, 74.00, 90.00 degrees
With the nearest neighbours (Å) after each atom.
Fractional positions:
Hg: 0.1527 0.1527 0.6947  1 Pd 2.76
Hg: 0.0000 0.5000 0.0000  2 Pd 2.71
Hg: 0.8473 0.8473 0.3053  1 Pd 2.76
Hg: 0.5000 0.0000 0.0000  2 Pd 2.71
Pd: 0.0000 0.0000 0.0000  6 Hg 2.71-2.76
Rb: 0.6439 0.6439 0.7122  9 Hg 3.68-3.83
Rb: 0.3561 0.3561 0.2878  9 Hg 3.68-3.83



Entry 6:
Compound: SiGeS2
Source: Alexandria via LeMat-Bulk
Functional: PBE
Structure: relaxed

**Symmetry**: No. 166
**VASP energy**: -0.1619 hartree per atom

Cell lengths 8.0353, 8.0353, 8.0353 Å; angles 25.06, 25.06, 25.06 degrees
With the nearest neighbours (Å) after each atom.
Fractional positions:
Ge: 0.5000 0.5000 0.5000  6 S 2.50
S: 0.8969 0.8969 0.8969  1 Si 2.41, 3 Ge 2.50
S: 0.1031 0.1031 0.1031  1 Si 2.41, 3 Ge 2.50
Si: 0.0000 0.0000 0.0000  2 S 2.41